(1)
## VBi3Os (PBE)

Data for an optimized crystal structure of VBi3Os.

Values from the calculation:
DOS(E_F) (states/eV per cell): 6.6
Symmetry: Pm-3m
ΔE_f (meV per atom): 1147
Electronic total energy (eV per cell): -26.26
Polymorph energy (0 for the lowest one) (meV/atom): 0.0

Geometry as POSCAR:
```
VBi3Os
1.0
5.3101 0.0000 0.0000
0.0000 5.3101 0.0000
0.0000 0.0000 5.3101
Bi V Os
3 1 1
direct
0.0000 0.0000 0.5000
0.0000 0.5000 0.0000
0.5000 0.0000 0.0000
0.5000 0.5000 0.5000
0.0000 0.0000 0.0000
```

(2)
## TaMnIn2 (PBE)

Data for an optimized crystal structure of TaMnIn2.

Values from the calculation:
DOS(E_F) (states/eV per cell): 3.4
Symmetry: P4/mmm
ΔE_f (meV per atom): 363
Electronic total energy (eV per cell): -25.05
Polymorph energy (0 for the lowest one) (meV/atom): 170.2

Geometry as POSCAR:
```
TaMnIn2
1.0
-3.4202 3.5652 0.9306
-1.6458 -2.6142 3.9664
1.9948 1.4484 1.7823
In Ta Mn
2 1 1
direct
0.5000 0.5000 0.0000
0.0000 0.0000 0.0000
0.0000 0.5000 0.5000
0.5000 0.0000 0.5000
```

(3)
## Ca4Ac15Nd (PBE)

Data for an optimized crystal structure of Ca4Ac15Nd.

Values from the calculation:
DOS(E_F) (states/eV per cell): 29.8
Symmetry: P4/mmm
ΔE_f (meV per atom): 22
Electronic total energy (eV per cell): -73.96

Geometry as POSCAR:
```
Ca4Ac15Nd
1.0
5.5825 0.0000 0.0000
0.0000 5.5825 0.0000
0.0000 0.0000 28.0330
Ac Ca Nd
15 4 1
direct
0.5000 0.5000 0.3996
0.5000 0.0000 0.0972
0.0000 0.5000 0.7010
0.5000 0.5000 0.1989
0.0000 0.5000 0.2990
0.5000 0.0000 0.9028
0.0000 0.5000 0.9028
0.5000 0.0000 0.5000
0.0000 0.5000 0.5000
0.5000 0.0000 0.2990
0.5000 0.5000 0.6004
0.5000 0.0000 0.7010
0.0000 0.5000 0.0972
0.5000 0.5000 0.0000
0.5000 0.5000 0.8011
0.0000 0.0000 0.8012
0.0000 0.0000 0.1988
0.0000 0.0000 0.3996
0.0000 0.0000 0.6004
0.0000 0.0000 0.0000
```

(4)
## HgW (PBE)

Data for an optimized crystal structure of HgW.

Values from the calculation:
DOS(E_F) (states/eV per cell): 11.8
Symmetry: Pmmn
ΔE_f (meV per atom): 929
Electronic total energy (eV per cell): -68.38
Polymorph energy (0 for the lowest one) (meV/atom): 425.1

Geometry as POSCAR:
```
HgW
1.0
2.9220 0.0000 0.0000
0.0000 7.7289 0.0000
0.0000 0.0000 10.7500
Hg W
6 6
direct
0.5000 0.9483 0.0000
0.0000 0.0517 0.5000
0.0000 0.6017 0.1388
0.0000 0.6017 0.8612
0.5000 0.3983 0.6388
0.5000 0.3983 0.3612
0.5000 0.7214 0.5000
0.5000 0.8682 0.7167
0.0000 0.2786 0.0000
0.0000 0.1318 0.2167
0.5000 0.8682 0.2833
0.0000 0.1318 0.7833
```

(5)
## LaZrCl (PBE)

Data for an optimized crystal structure of LaZrCl.

Values from the calculation:
DOS(E_F) (states/eV per cell): 4.1
Symmetry: P-6m2
Electronic total energy (eV per cell): -15.88
Polymorph energy (0 for the lowest one) (meV/atom): 724.4

Geometry as POSCAR:
```
LaZrCl
1.0
4.9813 0.0000 0.0000
-2.4906 4.3139 0.0000
0.0000 0.0000 3.4473
Cl La Zr
1 1 1
direct
0.0000 0.0000 0.8339
0.3333 0.6667 0.3326
0.6667 0.3333 0.8334
```

(6)
## Zr6RhN4 (PBE)

Data for an optimized crystal structure of Zr6RhN4.

Values from the calculation:
DOS(E_F) (states/eV per cell): 10.7
Symmetry: Cmcm
Electronic total energy (eV per cell): -214.75

Geometry as POSCAR:
```
Zr6RhN4
1.0
3.3104 0.0000 0.0000
-1.6552 5.5620 0.0000
0.0000 0.0000 17.3513
Zr N Rh
12 8 2
direct
0.7763 0.5527 0.0790
0.0399 0.0798 0.1507
0.6542 0.3085 0.7500
0.2237 0.4473 0.5790
0.9601 0.9202 0.8493
0.0399 0.0798 0.3493
0.7763 0.5527 0.4210
0.5000 0.0000 0.5000
0.3458 0.6915 0.2500
0.9601 0.9202 0.6507
0.5000 0.0000 0.0000
0.2237 0.4473 0.9210
0.1382 0.2764 0.0393
0.5945 0.1890 0.8793
0.4055 0.8110 0.1207
0.8618 0.7236 0.5393
0.1382 0.2764 0.4607
0.4055 0.8110 0.3793
0.8618 0.7236 0.9607
0.5945 0.1890 0.6207
0.6610 0.3221 0.2500
0.3390 0.6779 0.7500
```